# 1
VASP calculation (PBE-GGA) on a geometry-optimized BeSn structure.

The structure in POSCAR format:
```
BeSn
1.0
-3.661 -0.253 -1.890
0.742 -4.339 -0.857
-5.401 -3.073 10.872
Be Sn
6 6
Direct
0.000 0.087 0.721
0.500 0.913 0.779
0.500 0.913 0.221
0.000 0.087 0.279
0.000 0.327 0.000
0.500 0.673 0.500
0.000 0.624 0.838
0.500 0.376 0.662
0.500 0.376 0.338
0.000 0.624 0.162
0.000 0.986 0.500
0.500 0.014 0.000
```

Properties
- space group = Pmmn
- calculated total energy (eV/cell) = -41.441
- theoretical density (Mg/m³) = 5.49
- formation enthalpy at 0 K (eV/atom) = 0.41

***

# 2
VASP calculation (PBE-GGA) on a geometry-optimized Be2SiRu structure.

The structure in POSCAR format:
```
Be2SiRu
1.0
2.994 0.000 0.000
0.000 2.992 0.010
0.000 -0.016 4.866
Ru Si Be
1 1 2
Direct
0.000 0.625 0.499
0.500 0.125 0.754
0.000 0.625 0.015
0.500 0.125 0.232
```

Properties
- space group = P4mm
- calculated total energy (eV/cell) = -23.430
- theoretical density (Mg/m³) = 5.61
- formation energy without anion corrections (eV/atom) = -0.32

***

# 3
VASP calculation (PBE-GGA) on a geometry-optimized FeCuAg2 structure.

The structure in POSCAR format:
```
FeCuAg2
1.0
9.172 -0.007 -0.004
8.749 2.753 -0.004
8.749 1.341 2.405
Ag Cu Fe
2 1 1
Direct
0.005 0.005 0.005
0.245 0.245 0.245
0.495 0.495 0.495
0.756 0.756 0.756
```

Properties
- space group = R3m
- calculated total energy (eV/cell) = -17.215
- theoretical density (Mg/m³) = 9.13
- formation enthalpy at 0 K (eV/atom) = 0.26

***

# 4
VASP calculation (PBE-GGA) on a geometry-optimized LaTb6Er structure.

The structure in POSCAR format:
```
LaTb6Er
1.0
-2.700 2.474 4.569
-5.319 1.627 -1.830
-5.037 -6.892 2.973
La Tb Er
1 6 1
Direct
0.000 0.000 0.000
0.475 0.955 0.700
0.955 0.475 0.700
0.045 0.525 0.300
0.525 0.045 0.300
0.626 0.626 0.078
0.374 0.374 0.922
0.500 0.500 0.500
```

Properties
- space group = C2/m
- calculated total energy (eV/cell) = -34.163
- theoretical density (Mg/m³) = 7.27
- formation enthalpy at 0 K (eV/atom) = 0.39

***

# 5
VASP calculation (PBE-GGA) on a geometry-optimized Dy2FeCo3 structure.

The structure in POSCAR format:
```
Dy2FeCo3
1.0
-4.268 -2.603 0.038
-1.342 -2.295 -4.234
0.337 -4.986 -0.130
Dy Fe Co
2 1 3
Direct
0.627 0.627 0.627
0.373 0.373 0.373
0.000 0.000 0.000
0.000 0.500 0.000
0.500 0.000 0.000
0.000 0.000 0.500
```

Properties
- space group = R-3m
- calculated total energy (eV/cell) = -40.133
- theoretical density (Mg/m³) = 9.93
- formation enthalpy at 0 K (eV/atom) = -0.19

***

# 6
VASP calculation (PBE-GGA) on a geometry-optimized RhWAu2 structure.

The structure in POSCAR format:
```
RhWAu2
1.0
1.431 4.774 0.001
-1.431 4.774 0.001
0.000 0.808 4.767
Rh W Au
1 1 2
Direct
0.500 0.500 0.000
0.000 0.000 0.500
0.253 0.253 0.747
0.747 0.747 0.253
```

Properties
- space group = C2/m
- calculated total energy (eV/cell) = -25.871
- theoretical density (Mg/m³) = 17.35
- formation enthalpy at 0 K (eV/atom) = 0.25

***

# 7
VASP calculation (PBE-GGA) on a geometry-optimized Ac6GeP2I3 structure.

The structure in POSCAR format:
```
Ac6GeP2I3
1.0
4.505 0.000 0.000
0.000 9.661 -0.103
-2.252 -3.243 9.904
Ac Ge P I
6 1 2 3
Direct
0.343 0.882 0.686
0.679 0.552 0.358
0.657 0.118 0.314
0.015 0.227 0.030
0.985 0.773 0.970
0.321 0.448 0.642
0.500 0.000 0.000
0.831 0.664 0.663
0.169 0.336 0.337
0.500 0.500 0.000
0.835 0.168 0.670
0.165 0.832 0.330
```

Properties
- space group = C2/m
- calculated total energy (eV/cell) = -59.408
- theoretical density (Mg/m³) = 7.26
- formation energy without anion corrections (eV/atom) = -1.22

***

# 8
VASP calculation (PBE-GGA) on a geometry-optimized LiNd4Pt structure.

The structure in POSCAR format:
```
LiNd4Pt
1.0
8.122 0.635 0.000
-2.699 7.687 0.000
-2.712 -4.161 6.458
Li Nd Pt
2 8 2
Direct
0.251 0.251 0.000
0.001 0.501 0.500
0.267 0.955 0.688
0.734 0.426 0.692
0.705 0.517 0.188
0.176 0.984 0.192
0.328 0.517 0.812
0.793 0.984 0.808
0.734 0.043 0.308
0.267 0.578 0.312
0.748 0.748 0.000
0.498 0.998 0.500
```

Properties
- space group = I4_1md
- calculated total energy (eV/cell) = -54.565
- theoretical density (Mg/m³) = 6.24
- formation enthalpy at 0 K (eV/atom) = -0.04